A | Below is TlIrAu2 at its PBEsol-relaxed geometry, with properties calculated at the meta-GGA SCAN level.

* space group: No. 225
* D(E_F): 2.1 states/eV/cell

Cell: 4.617 4.617 4.617 Å, 60.00 60.00 60.00°
Fractional positions:
Tl  0.000  0.000  0.000
Ir  0.500  0.500  0.500
Au  0.250  0.250  0.250
Au  0.750  0.750  0.750



B | Below is TlIrAu2 at its PBEsol-relaxed geometry, with properties calculated at the meta-GGA SCAN level.

* space group: No. 123
* D(E_F): 1.3 states/eV/cell

Cell: 4.029 4.029 4.244 Å, 90.00 90.00 90.00°
Fractional positions:
Tl  0.000  0.000  0.000
Ir  0.500  0.500  0.000
Au  0.000  0.500  0.500
Au  0.500  0.000  0.500



Stability check: which of them is least stable? A.



A | Below is IrWAu2 at its PBEsol-relaxed geometry, with properties calculated at the meta-GGA SCAN level.

* space group: No. 160
* D(E_F): 1.2 states/eV/cell

Cell: 9.509 9.509 9.509 Å, 16.91 16.91 16.91°
Fractional positions:
Ir  0.000  0.000  0.000
W  0.741  0.741  0.741
Au  0.247  0.247  0.247
Au  0.493  0.493  0.493



B | Below is IrWAu2 at its PBEsol-relaxed geometry, with properties calculated at the meta-GGA SCAN level.

* space group: No. 65
* D(E_F): 3.1 states/eV/cell

Cell: 2.728 2.728 9.608 Å, 90.00 90.00 116.72°
Fractional positions:
Ir  0.000  0.000  0.000
W  0.000  0.000  0.500
Au  0.500  0.500  0.249
Au  0.500  0.500  0.751



Stability check: which of them is least stable? B.



A | Below is Ir2WAu at its PBEsol-relaxed geometry, with properties calculated at the meta-GGA SCAN level.

* space group: No. 139
* D(E_F): 1.7 states/eV/cell

Cell: 4.727 4.727 4.727 Å, 130.43 130.43 72.71°
Fractional positions:
Ir  0.250  0.750  0.500
Ir  0.750  0.250  0.500
W  0.000  0.000  0.000
Au  0.500  0.500  0.000



B | Below is Ir2WAu at its PBEsol-relaxed geometry, with properties calculated at the meta-GGA SCAN level.

* space group: No. 123
* D(E_F): 3.2 states/eV/cell

Cell: 3.293 3.293 5.649 Å, 90.00 90.00 90.00°
Fractional positions:
Ir  0.000  0.000  0.241
Ir  0.000  0.000  0.759
W  0.500  0.500  0.000
Au  0.500  0.500  0.500



Stability check: which of them is least stable? B.



A | Below is YIrAu2 at its PBEsol-relaxed geometry, with properties calculated at the meta-GGA SCAN level.

* space group: No. 25
* D(E_F): 1.2 states/eV/cell

Cell: 3.274 3.830 5.802 Å, 90.00 90.00 90.00°
Fractional positions:
Y  0.000  0.000  0.000
Ir  0.500  0.500  0.759
Au  0.000  0.000  0.512
Au  0.500  0.500  0.279



B | Below is YIrAu2 at its PBEsol-relaxed geometry, with properties calculated at the meta-GGA SCAN level.

* space group: No. 10
* D(E_F): 1.6 states/eV/cell

Cell: 3.130 4.632 5.294 Å, 90.00 104.65 90.00°
Fractional positions:
Y  0.000  0.000  0.000
Ir  0.500  0.000  0.500
Au  0.359  0.500  0.733
Au  0.641  0.500  0.267



Stability check: which of them is least stable? B.



A | Below is K3Au2 at its PBEsol-relaxed geometry, with properties calculated at the meta-GGA SCAN level.

* space group: No. 166
* D(E_F): 2.1 states/eV/cell

Cell: 12.028 12.028 12.028 Å, 21.87 21.87 21.87°
Fractional positions:
K  0.000  0.000  0.000
K  0.225  0.225  0.225
K  0.775  0.775  0.775
Au  0.390  0.390  0.390
Au  0.610  0.610  0.610



B | Below is K3Au2 at its PBEsol-relaxed geometry, with properties calculated at the meta-GGA SCAN level.

* space group: No. 14
* D(E_F): 3.1 states/eV/cell

Cell: 6.312 10.611 5.116 Å, 90.00 113.80 90.00°
Fractional positions:
K  0.000  0.000  0.000
K  0.000  0.500  0.500
K  0.370  0.122  0.685
K  0.370  0.378  0.185
K  0.630  0.622  0.815
K  0.630  0.878  0.315
Au  0.200  0.694  0.100
Au  0.200  0.806  0.600
Au  0.800  0.194  0.400
Au  0.800  0.306  0.900



Stability check: which of them is least stable? A.



A | Below is K5Au3 at its PBEsol-relaxed geometry, with properties calculated at the meta-GGA SCAN level.

* space group: No. 193
* D(E_F): 8.5 states/eV/cell

Cell: 9.682 9.682 6.736 Å, 90.00 90.00 120.00°
Fractional positions:
K  0.000  0.262  0.250
K  0.000  0.738  0.750
K  0.262  0.000  0.250
K  0.262  0.262  0.750
K  0.333  0.667  0.000
K  0.333  0.667  0.500
K  0.667  0.333  0.000
K  0.667  0.333  0.500
K  0.738  0.000  0.750
K  0.738  0.738  0.250
Au  0.000  0.396  0.750
Au  0.000  0.604  0.250
Au  0.396  0.000  0.750
Au  0.396  0.396  0.250
Au  0.604  0.000  0.250
Au  0.604  0.604  0.750



B | Below is K5Au3 at its PBEsol-relaxed geometry, with properties calculated at the meta-GGA SCAN level.

* space group: No. 65
* D(E_F): 4.0 states/eV/cell

Cell: 7.011 7.011 5.457 Å, 90.00 90.00 103.50°
Fractional positions:
K  0.000  0.000  0.000
K  0.000  0.500  0.000
K  0.299  0.299  0.500
K  0.500  0.000  0.000
K  0.701  0.701  0.500
Au  0.205  0.795  0.500
Au  0.500  0.500  0.000
Au  0.795  0.205  0.500



Stability check: which of them is least stable? B.



A | Below is KLiAu2 at its PBEsol-relaxed geometry, with properties calculated at the meta-GGA SCAN level.

* space group: No. 44
* D(E_F): 0.6 states/eV/cell

Cell: 5.504 5.504 5.504 Å, 139.06 126.37 69.61°
Fractional positions:
K  0.000  0.000  0.000
Li  0.283  0.783  0.500
Au  0.485  0.485  0.000
Au  0.721  0.221  0.500



B | Below is KLiAu2 at its PBEsol-relaxed geometry, with properties calculated at the meta-GGA SCAN level.

* space group: No. 166
* D(E_F): 0.5 states/eV/cell

Cell: 6.321 6.321 6.321 Å, 42.28 42.28 42.28°
Fractional positions:
K  0.000  0.000  0.000
Li  0.500  0.500  0.500
Au  0.191  0.191  0.191
Au  0.809  0.809  0.809



Stability check: which of them is least stable? A.



A | Below is KMg2Au at its PBEsol-relaxed geometry, with properties calculated at the meta-GGA SCAN level.

* space group: No. 12
* D(E_F): 1.3 states/eV/cell

Cell: 6.543 6.543 5.662 Å, 115.07 115.07 28.53°
Fractional positions:
K  0.000  0.000  0.000
Mg  0.195  0.195  0.695
Mg  0.805  0.805  0.305
Au  0.500  0.500  0.500



B | Below is KMg2Au at its PBEsol-relaxed geometry, with properties calculated at the meta-GGA SCAN level.

* space group: No. 119
* D(E_F): 1.8 states/eV/cell

Cell: 5.127 5.127 5.127 Å, 117.76 117.76 93.93°
Fractional positions:
K  0.000  0.000  0.000
Mg  0.250  0.750  0.500
Mg  0.500  0.500  0.000
Au  0.750  0.250  0.500



Stability check: which of them is least stable? B.